1.
Density functional theory data (PBE) for an optimized crystal structure of CeNiPb2.

Unit cell a=3.3966 b=3.3966 c=31.3583 alpha=90.00 beta=90.00 gamma=120.00
Space group R-3m (No. 166, hexagonal axes)
One atom of each set of equivalent atoms:
Ce1 0.0000 0.0000 0.0000 [3 per cell]
Ni1 0.0000 0.0000 0.5000 [3 per cell]
Pb1 0.0000 0.0000 0.1053 [6 per cell]

Calculated values
Size of the total moment in μB per formula unit: 1.4
DOS at the Fermi energy in states/eV per cell: 20.5
Total energy in eV per atom: -4.536
E_form in meV per atom: 247



2.
Density functional theory data (PBE) for an optimized crystal structure of Ce2NiPb.

Unit cell a=3.3393 b=3.3393 c=8.5717 alpha=90.00 beta=90.00 gamma=90.00
Space group P4/mmm (No. 123)
One atom of each set of equivalent atoms:
Ce1 0.0000 0.0000 0.2047 [2 per cell]
Ni1 0.5000 0.5000 0.0000 [1 per cell]
Pb1 0.5000 0.5000 0.5000 [1 per cell]

Calculated values
Size of the total moment in μB per formula unit: 0.4
DOS at the Fermi energy in states/eV per cell: 7.6
Offset from the most stable computed form in meV/atom: 0
Total energy in eV per atom: -5.652
E_form in meV per atom: -313



3.
Density functional theory data (PBE) for an optimized crystal structure of Ce2NiPb.

Unit cell a=3.8486 b=3.8486 c=25.4133 alpha=90.00 beta=90.00 gamma=120.00
Space group R-3m (No. 166, hexagonal axes)
One atom of each set of equivalent atoms:
Ce1 0.0000 0.0000 0.2316 [6 per cell]
Ni1 0.0000 0.0000 0.5000 [3 per cell]
Pb1 0.0000 0.0000 0.0000 [3 per cell]

Calculated values
Size of the total moment in μB per formula unit: 1.1
DOS at the Fermi energy in states/eV per cell: 30.2
Offset from the most stable computed form in meV/atom: 110
Total energy in eV per atom: -5.543
E_form in meV per atom: -203



4.
Density functional theory data (PBE) for an optimized crystal structure of Ce6NiPb2.

Unit cell a=6.8423 b=6.8423 c=10.3878 alpha=90.00 beta=90.00 gamma=90.00
Space group I4/mmm (No. 139)
One atom of each set of equivalent atoms:
Ce1 0.0000 0.0000 0.2376 [4 per cell]
Ce2 0.2122 0.2122 0.5000 [8 per cell]
Ni1 0.0000 0.0000 0.0000 [2 per cell]
Pb1 0.0000 0.5000 0.2500 [4 per cell]

Calculated values
Size of the total moment in μB per formula unit: 3.6
DOS at the Fermi energy in states/eV per cell: 44.7
Total energy in eV per atom: -5.707
E_form in meV per atom: -285